No. 1
PBE Na2Be2SiAu5, relaxed; volume = 16.9 Å³ per atom; E = -3.409 eV per atom; size of the total moment = 0.00 μB/f.u.
1.0
10.693 0.000 0.000
0.000 10.693 0.000
0.000 0.000 2.957
Na Be Si Au
4 4 2 10
direct
0.176 0.324 0.000
0.324 0.824 0.000
0.676 0.176 0.000
0.824 0.676 0.000
0.127 0.627 0.000
0.373 0.127 0.000
0.627 0.873 0.000
0.873 0.373 0.000
0.000 0.000 0.000
0.500 0.500 0.000
0.000 0.500 0.500
0.065 0.796 0.500
0.204 0.065 0.500
0.296 0.565 0.500
0.435 0.296 0.500
0.500 0.000 0.500
0.565 0.704 0.500
0.704 0.435 0.500
0.796 0.935 0.500
0.935 0.204 0.500

---

No. 2
PBE NaBeSiAu3, relaxed; volume = 19.8 Å³ per atom; E = -3.496 eV per atom; size of the total moment = 0.00 μB/f.u.
1.0
2.839 -5.654 0.000
2.839 5.654 0.000
0.000 0.000 7.417
Na Be Si Au
2 2 2 6
direct
0.219 0.781 0.750
0.781 0.219 0.250
0.482 0.518 0.750
0.518 0.482 0.250
0.095 0.905 0.250
0.905 0.095 0.750
0.251 0.251 0.000
0.251 0.251 0.500
0.307 0.693 0.250
0.693 0.307 0.750
0.749 0.749 0.000
0.749 0.749 0.500

---

No. 3
PBE NaSr2BeAu, relaxed; volume = 33.2 Å³ per atom; size of the total moment = 0.00 μB/f.u.; energy of formation from the pure elements = 0.608 eV per atom
1.0
6.061 0.000 0.000
0.000 6.061 0.000
0.000 0.000 4.521
Na Sr Be Au
1 2 1 1
direct
0.000 0.000 0.000
0.000 0.500 0.000
0.500 0.000 0.000
0.000 0.000 0.500
0.500 0.500 0.500

---

No. 4
PBE NaBe2VAu, relaxed; volume = 16.4 Å³ per atom; size of the total moment = 0.00 μB/f.u.; energy of formation from the pure elements = 1.654 eV per atom
1.0
4.231 0.000 0.000
0.000 4.231 0.000
0.000 0.000 4.574
Na Be V Au
1 2 1 1
direct
0.000 0.000 0.000
0.000 0.500 0.000
0.500 0.000 0.000
0.500 0.500 0.500
0.000 0.000 0.500

---

No. 5
PBE Na2Be2ZnAu5, relaxed; volume = 17.0 Å³ per atom; size of the total moment = 0.00 μB/f.u.; energy of formation from the pure elements = -0.273 eV per atom
1.0
10.967 0.000 0.000
0.000 10.967 0.000
0.000 0.000 2.826
Na Be Zn Au
4 4 2 10
direct
0.177 0.323 0.000
0.323 0.823 0.000
0.677 0.177 0.000
0.823 0.677 0.000
0.127 0.627 0.000
0.373 0.127 0.000
0.627 0.873 0.000
0.873 0.373 0.000
0.000 0.000 0.000
0.500 0.500 0.000
0.000 0.500 0.500
0.065 0.794 0.500
0.206 0.065 0.500
0.294 0.565 0.500
0.435 0.294 0.500
0.500 0.000 0.500
0.565 0.706 0.500
0.706 0.435 0.500
0.794 0.935 0.500
0.935 0.206 0.500

---

No. 6
PBE NaBeZn2Au5, relaxed; volume = 19.2 Å³ per atom; size of the total moment = 0.00 μB/f.u.; energy of formation from the pure elements = -0.141 eV per atom
1.0
-2.282 2.807 6.758
2.282 -2.807 6.758
2.282 2.807 -6.758
Na Be Zn Au
1 1 2 5
direct
0.000 0.000 0.000
0.500 0.500 0.000
0.306 0.806 0.500
0.694 0.194 0.500
0.106 0.360 0.746
0.386 0.640 0.746
0.500 0.000 0.500
0.614 0.360 0.254
0.894 0.640 0.254

---

No. 7
PBE Na2BeZn2Au5, relaxed; volume = 18.1 Å³ per atom; size of the total moment = 0.00 μB/f.u.; energy of formation from the pure elements = -0.266 eV per atom
1.0
11.345 0.000 0.000
0.000 11.345 0.000
0.000 0.000 2.811
Na Be Zn Au
4 2 4 10
direct
0.171 0.329 0.000
0.329 0.829 0.000
0.671 0.171 0.000
0.829 0.671 0.000
0.000 0.000 0.000
0.500 0.500 0.000
0.141 0.641 0.000
0.359 0.141 0.000
0.641 0.859 0.000
0.859 0.359 0.000
0.000 0.500 0.500
0.062 0.826 0.500
0.174 0.062 0.500
0.326 0.562 0.500
0.438 0.326 0.500
0.500 0.000 0.500
0.562 0.674 0.500
0.674 0.438 0.500
0.826 0.938 0.500
0.938 0.174 0.500

---

No. 8
PBE NaBeZnAu3, relaxed; volume = 21.0 Å³ per atom; size of the total moment = 0.00 μB/f.u.; energy of formation from the pure elements = -0.104 eV per atom
1.0
3.954 -5.653 0.000
3.954 5.653 0.000
0.000 0.000 5.626
Na Be Zn Au
2 2 2 6
direct
0.217 0.783 0.750
0.783 0.217 0.250
0.499 0.501 0.250
0.501 0.499 0.750
0.069 0.931 0.250
0.931 0.069 0.750
0.266 0.266 0.000
0.266 0.266 0.500
0.296 0.704 0.250
0.704 0.296 0.750
0.734 0.734 0.000
0.734 0.734 0.500

---

No. 9
PBE BeNbAu, relaxed; volume = 18.5 Å³ per atom; size of the total moment = 0.00 μB/f.u.; energy of formation from the pure elements = 0.654 eV per atom
1.0
0.000 3.030 3.030
3.030 0.000 3.030
3.030 3.030 0.000
Be Nb Au
1 1 1
direct
0.000 0.000 0.000
0.750 0.750 0.750
0.500 0.500 0.500

---

No. 10
PBE BeNbAu, relaxed; volume = 15.3 Å³ per atom; size of the total moment = 0.00 μB/f.u.; energy of formation from the pure elements = 0.231 eV per atom
1.0
4.478 0.000 0.000
-2.239 3.878 0.000
0.000 0.000 5.278
Be Nb Au
2 2 2
direct
0.333 0.667 0.250
0.667 0.333 0.750
0.333 0.667 0.750
0.667 0.333 0.250
0.000 0.000 0.000
0.000 0.000 0.500

---

No. 11
PBE BeNbAu, relaxed; volume = 15.0 Å³ per atom; size of the total moment = 0.00 μB/f.u.; energy of formation from the pure elements = -0.013 eV per atom
1.0
2.891 0.000 0.000
-1.430 5.076 0.000
-0.073 -2.004 6.148
Be Nb Au
2 2 2
direct
0.000 0.000 0.000
0.325 0.661 0.073
0.384 0.703 0.664
0.613 0.283 0.768
0.698 0.388 0.239
0.987 0.971 0.380

---

No. 12
PBE Be3NbAu, relaxed; volume = 14.9 Å³ per atom; size of the total moment = 0.00 μB/f.u.; energy of formation from the pure elements = 0.649 eV per atom
1.0
4.204 0.000 0.000
0.000 4.204 0.000
0.000 0.000 4.204
Be Nb Au
3 1 1
direct
0.000 0.000 0.500
0.000 0.500 0.000
0.500 0.000 0.000
0.500 0.500 0.500
0.000 0.000 0.000

---

No. 13
PBE BeNbAu, relaxed; volume = 14.9 Å³ per atom; size of the total moment = 0.00 μB/f.u.; energy of formation from the pure elements = -0.066 eV per atom
1.0
2.775 0.000 0.000
-0.007 4.547 0.000
-0.947 -0.796 7.102
Be Nb Au
2 2 2
direct
0.000 0.000 0.000
0.140 0.394 0.231
0.246 0.939 0.678
0.559 0.478 0.914
0.614 0.872 0.272
0.731 0.410 0.520

---

No. 14
PBE BeNbAu, relaxed; volume = 17.9 Å³ per atom; size of the total moment = 0.00 μB/f.u.; energy of formation from the pure elements = 0.795 eV per atom
1.0
3.620 0.000 0.000
-1.810 3.135 0.000
0.000 0.000 9.464
Be Nb Au
2 2 2
direct
0.000 0.000 0.250
0.000 0.000 0.750
0.000 0.000 0.000
0.000 0.000 0.500
0.333 0.667 0.250
0.667 0.333 0.750

---

No. 15
PBE BeNbAu, relaxed; volume = 15.3 Å³ per atom; size of the total moment = 0.00 μB/f.u.; energy of formation from the pure elements = -0.009 eV per atom
1.0
3.867 0.000 0.000
0.000 3.867 0.000
0.000 0.000 6.151
Be Nb Au
2 2 2
direct
0.250 0.750 0.000
0.750 0.250 0.000
0.250 0.250 0.347
0.750 0.750 0.653
0.250 0.250 0.792
0.750 0.750 0.208

---

No. 16
PBE BeNbAu, relaxed; volume = 15.2 Å³ per atom; size of the total moment = 0.00 μB/f.u.; energy of formation from the pure elements = -0.085 eV per atom
1.0
7.781 -1.855 0.000
7.781 1.855 0.000
-0.667 0.000 3.162
Be Nb Au
2 2 2
direct
0.000 0.000 0.000
0.109 0.109 0.607
0.273 0.273 0.775
0.669 0.669 0.167
0.506 0.506 0.506
0.867 0.867 0.367

---

No. 17
PBE BeNbAu, relaxed; volume = 14.8 Å³ per atom; size of the total moment = 0.00 μB/f.u.; energy of formation from the pure elements = -0.023 eV per atom
1.0
5.754 -1.627 0.000
5.754 1.627 0.000
-1.055 0.000 4.748
Be Nb Au
2 2 2
direct
0.000 0.000 0.000
0.541 0.541 0.284
0.336 0.336 0.916
0.635 0.635 0.825
0.198 0.198 0.349
0.919 0.919 0.470

---

No. 18
PBE BeNbAu, relaxed; volume = 16.0 Å³ per atom; size of the total moment = 0.00 μB/f.u.; energy of formation from the pure elements = 0.194 eV per atom
1.0
0.000 2.882 2.882
2.882 0.000 2.882
2.882 2.882 0.000
Be Nb Au
1 1 1
direct
0.000 0.000 0.000
0.750 0.750 0.750
0.250 0.250 0.250

---

No. 19
PBE BeNbAu, relaxed; volume = 14.8 Å³ per atom; size of the total moment = 0.00 μB/f.u.; energy of formation from the pure elements = -0.154 eV per atom
1.0
7.585 -1.626 0.000
7.585 1.626 0.000
-0.009 0.000 3.607
Be Nb Au
2 2 2
direct
0.000 0.000 0.000
0.082 0.082 0.501
0.247 0.247 0.499
0.638 0.638 0.002
0.463 0.463 0.500
0.845 0.845 0.000

---

No. 20
PBE BeNbAu, relaxed; volume = 14.7 Å³ per atom; size of the total moment = 0.00 μB/f.u.; energy of formation from the pure elements = -0.173 eV per atom
1.0
-1.436 1.436 5.337
1.436 -1.436 5.337
1.436 1.436 -5.337
Be Nb Au
1 1 1
direct
0.000 0.000 0.000
0.343 0.343 0.000
0.635 0.635 0.000

---

No. 21
PBE Be3NbAu, relaxed; volume = 16.4 Å³ per atom; size of the total moment = 0.00 μB/f.u.; energy of formation from the pure elements = 1.540 eV per atom
1.0
4.347 0.000 0.000
0.000 4.347 0.000
0.000 0.000 4.347
Be Nb Au
3 1 1
direct
0.000 0.000 0.500
0.000 0.500 0.000
0.500 0.000 0.000
0.000 0.000 0.000
0.500 0.500 0.500

---

No. 22
PBE BeNbAu, relaxed; volume = 14.6 Å³ per atom; size of the total moment = 0.00 μB/f.u.; energy of formation from the pure elements = -0.258 eV per atom
1.0
1.728 -7.344 0.000
1.728 7.344 0.000
0.000 0.000 3.457
Be Nb Au
2 2 2
direct
0.038 0.962 0.750
0.962 0.038 0.250
0.412 0.588 0.750
0.588 0.412 0.250
0.199 0.801 0.750
0.801 0.199 0.250

---

No. 23
PBE Be3NbAu, relaxed; volume = 12.1 Å³ per atom; size of the total moment = 0.00 μB/f.u.; energy of formation from the pure elements = -0.192 eV per atom
1.0
1.559 -10.565 0.000
1.559 10.565 0.000
0.000 0.000 3.667
Be Nb Au
6 2 2
direct
0.024 0.976 0.750
0.121 0.879 0.750
0.176 0.824 0.250
0.824 0.176 0.750
0.879 0.121 0.250
0.976 0.024 0.250
0.427 0.573 0.750
0.573 0.427 0.250
0.294 0.706 0.250
0.706 0.294 0.750

---

No. 24
PBE BeNbAu, relaxed; volume = 14.9 Å³ per atom; size of the total moment = 0.00 μB/f.u.; energy of formation from the pure elements = -0.060 eV per atom
1.0
-2.493 2.621 3.420
2.493 -2.621 3.420
2.493 2.621 -3.420
Be Nb Au
2 2 2
direct
0.500 0.000 0.000
0.500 0.500 0.500
0.139 0.389 0.750
0.861 0.611 0.250
0.000 0.000 0.000
0.500 0.000 0.500